VASP calculation (PBE) on crystalline NdHo3Au2 at its relaxed geometry.

The space group is Pmc2_1 (No. 26) and the conventional cell measures 4.979, 8.976 and 7.184 Å, with angles of 90.00, 90.00 and 90.00 degrees. The asymmetric unit holds Nd at (0.000, 0.075, 0.000), Ho at (0.000, 0.333, 0.637), Ho at (0.500, 0.171, 0.338), Ho at (0.500, 0.429, 0.975), Au at (0.000, 0.354, 0.237) and Au at (0.500, 0.157, 0.741).

The calculation puts the formation energy from the elements at -0.620 eV/atom. For the electronic total energy, the calculation gives -4.796 eV per atom. As for the energy above the most stable polymorph in this dataset: 0.000 eV per atom. Its size of the total moment is 0.00 μB per atom.